Entry 1:
Here is a relaxed TeWAuI2 crystal from Alexandria. Energies are from PBE-GGA.

abc: 5.5292 5.5292 5.2212
angles: 90.00 90.00 90.00
With the nearest neighbours (Å) after each atom.
Space group P4/mmm (No. 123)
Inequivalent atoms, fractional coordinates:
Te 0.0000 0.0000 0.0000  2 W 2.61
W 0.0000 0.0000 0.5000  2 Te 2.61, 4 I 2.76
Au 0.5000 0.5000 0.0000  8 I 3.80, 4 Te 3.91
I 0.0000 0.5000 0.5000  2 W 2.76

Computed properties:
E_form (uncorrected)   0.8277 eV per atom
Offset from the most stable computed form   0.000 eV/atom
Fermi-level density of states   4.86 states/eV/cell
Total energy   -3.667 eV/atom

***

Entry 2:
Here is a relaxed Li2Pm2SmIn5 crystal from Alexandria. Energies are from PBE-GGA.

abc: 10.4810 10.4810 4.4643
angles: 90.00 90.00 90.00
With the nearest neighbours (Å) after each atom.
Space group P4/mbm (No. 127)
Inequivalent atoms, fractional coordinates:
Li 0.1185 0.3815 0.0000  6 In 2.84-2.88, 3 Pm 3.05-3.14
Pm 0.1754 0.6754 0.0000  3 Li 3.05-3.14
Sm 0.0000 0.0000 0.0000  8 In 3.26
In 0.0000 0.5000 0.5000  4 Li 2.84, 4 In 3.08
In 0.0719 0.2149 0.5000  2 Li 2.88, 2 In 3.08-3.16

Computed properties:
Formation enthalpy at 0 K   -0.42 eV/atom
Fermi-level density of states   10.42 states/eV/cell
Total energy   -3.590 eV/atom

***

Entry 3:
Here is a relaxed Ce2ErBe2O6 crystal from Alexandria. Energies are from PBE-GGA.

abc: 5.4143 5.4143 6.1906
angles: 90.00 90.00 120.00
With the nearest neighbours (Å) after each atom.
Space group P-3 (No. 147)
Inequivalent atoms, fractional coordinates:
Ce 0.3333 0.6667 0.3728  3 O 2.30
Er 0.0000 0.0000 0.0000  6 O 2.28
Be 0.3333 0.6667 0.8191  3 O 1.55
O 0.0699 0.7035 0.7800  1 Be 1.55

Computed properties:
E_form (uncorrected)   -2.7796 eV per atom
Fermi-level density of states   6.96 states/eV/cell
Total energy   -7.655 eV/atom

***

Entry 4:
Here is a relaxed WCl crystal from Alexandria. Energies are from PBE-GGA.

abc: 4.2019 4.2019 7.5458
angles: 90.00 90.00 90.00
With the nearest neighbours (Å) after each atom.
Space group I4_1/amd (No. 141, origin choice 2)
Inequivalent atoms, fractional coordinates:
W 0.0000 0.2500 0.3750  4 W 2.82, 8 Cl 2.82-2.97
Cl 0.0000 0.2500 0.8750  4 Cl 2.82, 8 W 2.82-2.97

Computed properties:
E_form (uncorrected)   1.2124 eV per atom
Offset from the most stable computed form   1.456 eV/atom
Fermi-level density of states   4.08 states/eV/cell
Total energy   -6.188 eV/atom

***

Entry 5:
Here is a relaxed Zr6MnZn5 crystal from Alexandria. Energies are from PBE-GGA.

abc: 4.6996 6.6623 14.0087
angles: 90.00 90.00 90.00
With the nearest neighbours (Å) after each atom.
Space group Immm (No. 71)
Inequivalent atoms, fractional coordinates:
Zr 0.0000 0.2398 0.0000  2 Mn 2.84, 6 Zn 2.91-2.92
Zr 0.0000 0.2573 0.3392  1 Mn 2.77, 7 Zn 2.83-2.91
Mn 0.0000 0.5000 0.5000  8 Zr 2.77-2.84
Zn 0.0000 0.0000 0.1735  8 Zr 2.86-2.91
Zn 0.0000 0.0000 0.5000  8 Zr 2.83-2.92
Zn 0.0000 0.5000 0.1673  8 Zr 2.90-2.91, 2 Zn 3.24

Computed properties:
Formation enthalpy at 0 K   -0.24 eV/atom
Fermi-level density of states   13.28 states/eV/cell
Total energy   -5.810 eV/atom

***

Entry 6:
Here is a relaxed Sc2NiPb crystal from Alexandria. Energies are from PBE-GGA.

abc: 4.3240 3.4591 11.1522
angles: 90.00 90.00 90.00
With the nearest neighbours (Å) after each atom.
Space group Amm2 (No. 38)
Inequivalent atoms, fractional coordinates:
Sc 0.0000 0.0000 0.0000  4 Ni 2.84, 3 Pb 3.02-3.10
Sc 0.5000 0.0000 0.3259  1 Ni 2.57
Ni 0.5000 0.0000 0.5566  5 Sc 2.57-2.84, 2 Pb 2.84
Pb 0.0000 0.0000 0.7217  2 Ni 2.84, 7 Sc 3.00-3.10

Computed properties:
Formation enthalpy at 0 K   -0.33 eV/atom
Fermi-level density of states   5.23 states/eV/cell
Total energy   -5.864 eV/atom

***

Entry 7:
Here is a relaxed Be3Te crystal from Alexandria. Energies are from PBE-GGA.

abc: 5.0390 5.0390 5.0390
angles: 90.00 90.00 90.00
With the nearest neighbours (Å) after each atom.
Space group Pm-3m (No. 221)
Inequivalent atoms, fractional coordinates:
Be 0.0000 0.0000 0.5000  2 Te 2.52
Te 0.0000 0.0000 0.0000  6 Be 2.52

Computed properties:
E_form (uncorrected)   1.8704 eV per atom
Offset from the most stable computed form   1.664 eV/atom
Fermi-level density of states   5.84 states/eV/cell
Total energy   -1.710 eV/atom

***

Entry 8:
Here is a relaxed CaReTeRu2 crystal from Alexandria. Energies are from PBE-GGA.

abc: 4.7775 4.7775 5.1635
angles: 90.00 90.00 90.00
With the nearest neighbours (Å) after each atom.
Space group P4/mmm (No. 123)
Inequivalent atoms, fractional coordinates:
Ca 0.0000 0.0000 0.0000  4 Te 3.38, 8 Ru 3.52
Re 0.5000 0.5000 0.5000  4 Ru 2.39, 2 Te 2.58
Te 0.5000 0.5000 0.0000  2 Re 2.58
Ru 0.0000 0.5000 0.5000  2 Re 2.39

Computed properties:
E_form (uncorrected)   0.7657 eV per atom
Fermi-level density of states   4.21 states/eV/cell
Total energy   -6.463 eV/atom

***

Entry 9:
Here is a relaxed Tb4Pr5Hg4 crystal from Alexandria. Energies are from PBE-GGA.

abc: 12.3857 12.3857 5.2123
angles: 90.00 90.00 90.00
With the nearest neighbours (Å) after each atom.
Space group I4/m (No. 87)
Inequivalent atoms, fractional coordinates:
Tb 0.0966 0.6029 0.0000  3 Hg 3.01-3.28
Pr 0.0000 0.0000 0.0000  4 Hg 3.21
Pr 0.1202 0.8136 0.5000  3 Hg 3.24
Hg 0.0913 0.2426 0.0000  3 Tb 3.01-3.28, 4 Pr 3.21-3.24

Computed properties:
Formation enthalpy at 0 K   -0.31 eV/atom
Fermi-level density of states   21.25 states/eV/cell
Total energy   -3.663 eV/atom

***

Entry 10:
Here is a relaxed CuSeBr2 crystal from Alexandria. Energies are from PBE-GGA.

abc: 3.4540 7.0850 8.3146
angles: 90.00 90.00 90.00
With the nearest neighbours (Å) after each atom.
Space group Cmmm (No. 65)
Inequivalent atoms, fractional coordinates:
Cu 0.0000 0.0000 0.0000  4 Br 2.42
Se 0.0000 0.0000 0.5000  4 Br 3.01
Br 0.0000 0.5000 0.2039  2 Cu 2.42

Computed properties:
E_form (uncorrected)   0.2030 eV per atom
Offset from the most stable computed form   0.369 eV/atom
Fermi-level density of states   5.12 states/eV/cell
Total energy   -2.529 eV/atom

***

Entry 11:
Here is a relaxed ScWCl2 crystal from Alexandria. Energies are from PBE-GGA.

abc: 3.0694 3.0694 25.8556
angles: 90.00 90.00 120.00
With the nearest neighbours (Å) after each atom.
Space group R-3m (No. 166, hexagonal axes)
Inequivalent atoms, fractional coordinates:
Sc 0.0000 0.0000 0.0000  6 Cl 2.58
W 0.0000 0.0000 0.5000  2 Cl 2.43
Cl 0.0000 0.0000 0.4058  1 W 2.43, 3 Sc 2.58

Computed properties:
E_form (uncorrected)   -0.3442 eV per atom
Offset from the most stable computed form   0.124 eV/atom
Fermi-level density of states   8.43 states/eV/cell
Total energy   -6.089 eV/atom

***

Entry 12:
Here is a relaxed NaPd3Br crystal from Alexandria. Energies are from PBE-GGA.

abc: 4.8128 4.8128 4.8128
angles: 90.00 90.00 90.00
With the nearest neighbours (Å) after each atom.
Space group Pm-3m (No. 221)
Inequivalent atoms, fractional coordinates:
Na 0.0000 0.0000 0.0000  6 Pd 2.41
Pd 0.0000 0.0000 0.5000  2 Na 2.41
Br 0.5000 0.5000 0.5000  12 Pd 3.40

Computed properties:
E_form (uncorrected)   0.9622 eV per atom
Offset from the most stable computed form   0.751 eV/atom
Fermi-level density of states   9.23 states/eV/cell
Total energy   -2.752 eV/atom